# 1
{"formula": "HfI", "functional": "PBE-GGA", "state": "optimized geometry", "mass_density_g_cm3": 7.565, "energy_ev_per_atom": -4.74, "lattice": [[0.0000, 3.2242, 3.2242], [3.2242, 0.0000, 3.2242], [3.2242, 3.2242, 0.0000]], "species": ["Hf", "I"], "frac_coords": [[0.0000, 0.0000, 0.0000], [0.2500, 0.2500, 0.2500]]}

---

# 2
{"formula": "HfI", "functional": "PBE-GGA", "state": "optimized geometry", "mass_density_g_cm3": 8.493, "energy_ev_per_atom": -5.50, "lattice": [[0.0000, 4.9934, 5.5445], [4.3136, 0.0000, 5.5445], [4.3136, 4.9934, 0.0000]], "species": ["Hf", "Hf", "Hf", "Hf", "I", "I", "I", "I"], "frac_coords": [[0.0038, 0.0038, 0.7462], [0.2538, 0.2538, 0.9962], [0.7462, 0.7462, 0.0038], [0.9962, 0.9962, 0.2538], [0.1739, 0.5761, 0.5761], [0.4239, 0.8261, 0.8261], [0.5761, 0.1739, 0.1739], [0.8261, 0.4239, 0.4239]]}

---

# 3
{"formula": "HfI3", "functional": "PBE-GGA", "state": "optimized geometry", "mass_density_g_cm3": 8.082, "energy_ev_per_atom": -3.41, "lattice": [[0.0000, 3.8586, 3.8586], [3.8586, 0.0000, 3.8586], [3.8586, 3.8586, 0.0000]], "species": ["Hf", "I", "I", "I"], "frac_coords": [[0.0000, 0.0000, 0.0000], [0.2500, 0.2500, 0.2500], [0.5000, 0.5000, 0.5000], [0.7500, 0.7500, 0.7500]]}

---

# 4
{"formula": "HfI3", "functional": "PBE-GGA", "state": "optimized geometry", "mass_density_g_cm3": 5.930, "energy_ev_per_atom": -4.09, "lattice": [[-5.1785, 5.1785, 2.9194], [5.1785, -5.1785, 2.9194], [5.1785, 5.1785, -2.9194]], "species": ["Hf", "Hf", "I", "I", "I", "I", "I", "I"], "frac_coords": [[0.0000, 0.0000, 0.0000], [0.7500, 0.2500, 0.5000], [0.2500, 0.7500, 0.5000], [0.3750, 0.2380, 0.3630], [0.5000, 0.5000, 0.0000], [0.7620, 0.1250, 0.1370], [0.8750, 0.0120, 0.6370], [0.9880, 0.6250, 0.8630]]}

---

# 5
{"formula": "HfInI3", "functional": "PBE-GGA", "state": "optimized geometry", "mass_density_g_cm3": 5.326, "polymorph_energy_mev_per_atom": 874, "lattice": [[5.9452, 0.0000, 0.0000], [0.0000, 5.9452, 0.0000], [0.0000, 0.0000, 5.9452]], "species": ["Hf", "In", "I", "I", "I"], "frac_coords": [[0.0000, 0.0000, 0.0000], [0.5000, 0.5000, 0.5000], [0.0000, 0.5000, 0.5000], [0.5000, 0.0000, 0.5000], [0.5000, 0.5000, 0.0000]]}

---

# 6
{"formula": "Hf2InI8", "functional": "PBE-GGA", "state": "optimized geometry", "mass_density_g_cm3": 3.736, "polymorph_energy_mev_per_atom": 0, "lattice": [[7.6972, -5.5606, 0.0000], [7.6972, 5.5606, 0.0000], [-1.3511, 0.0000, 7.7208]], "species": ["Hf", "Hf", "In", "I", "I", "I", "I", "I", "I", "I", "I"], "frac_coords": [[0.2025, 0.2025, 0.1581], [0.7975, 0.7975, 0.8419], [0.0000, 0.0000, 0.5000], [0.0773, 0.6929, 0.7410], [0.1961, 0.1961, 0.8103], [0.3071, 0.9227, 0.2590], [0.3713, 0.3713, 0.3207], [0.6287, 0.6287, 0.6793], [0.6929, 0.0773, 0.7410], [0.8039, 0.8039, 0.1897], [0.9227, 0.3071, 0.2590]]}